A relaxed Cr2InO4 crystal. Source: Alexandria, functional GGA+U.

- space group = C2/m (12)
- distance to the lowest polymorph of the same formula (meV per atom) = 114.6
- total DFT energy (no corrections) (eV per cell) = -48.73

abc: 3.0255 5.2068 6.3119
angles: 110.28 103.87 90.00
Positions (direct):
1 O 0.3394 0.6706 0.6788
2 O 0.1555 0.8499 0.3110
3 O 0.6606 0.3294 0.3212
4 O 0.8445 0.1501 0.6890
5 Cr 0.2619 0.2574 0.5237
6 Cr 0.7381 0.7426 0.4763
7 In 0.0000 0.0000 0.0000